An optimized crystal structure of In2NiBi2. Source: Alexandria, functional PBE.

Computed properties:
**VASP energy**: -35.6 eV/cell
**Calculated formation energy**: 1.2 eV/f.u.
**D(E_F)**: 0.8563 states/eV per atom

abc: 6.8821 6.8821 5.5048
angles: 90.00 90.00 90.00
Last column: nearest neighbours and their distance in Å.
Space group P4/mbm (No. 127)
Symmetry-distinct sites (fractional):
1 In 0.1608 0.3392 0.0000 (multiplicity 4)  2 Ni 2.58
2 Ni 0.0000 0.0000 0.0000 (multiplicity 2)  4 In 2.58
3 Bi 0.1671 0.6671 0.5000 (multiplicity 4)  6 In 3.22-3.56, 1 Bi 3.25

=====

An optimized crystal structure of BaZr2Pb. Source: Alexandria, functional PBE.

Computed properties:
**VASP energy**: -44.0 eV/cell
**Calculated formation energy**: 0.7 eV/f.u.
**D(E_F)**: 0.9872 states/eV per atom

abc: 10.0847 3.3613 7.4328
angles: 90.00 95.29 90.00
Last column: nearest neighbours and their distance in Å.
Space group Cm (No. 8)
Symmetry-distinct sites (fractional):
1 Ba 0.0000 0.0000 0.0000 (multiplicity 2)  2 Ba 3.36, 1 Zr 3.55, 3 Pb 3.56-3.61
2 Zr 0.0156 0.5000 0.4682 (multiplicity 2)  3 Zr 2.89-3.00
3 Zr 0.2785 0.5000 0.3439 (multiplicity 2)  3 Zr 2.89-3.00, 2 Pb 3.15
4 Pb 0.2532 0.0000 0.6969 (multiplicity 2)  5 Zr 3.15-3.27, 2 Pb 3.36

=====

An optimized crystal structure of Li2CoAg. Source: Alexandria, functional PBE.

Computed properties:
**VASP energy**: -13.0 eV/cell
**Calculated formation energy**: 0.8 eV/f.u.
**D(E_F)**: 0.7105 states/eV per atom

abc: 4.5094 4.5094 2.7455
angles: 90.00 90.00 90.00
Last column: nearest neighbours and their distance in Å.
Space group P4/mmm (No. 123)
Symmetry-distinct sites (fractional):
1 Li 0.0000 0.5000 0.0000 (multiplicity 2)  4 Co 2.64, 4 Ag 2.64, 2 Li 2.75
2 Co 0.0000 0.0000 0.5000 (multiplicity 1)  8 Li 2.64, 2 Co 2.75
3 Ag 0.5000 0.5000 0.5000 (multiplicity 1)  8 Li 2.64, 2 Ag 2.75

=====

An optimized crystal structure of Nd3Y3Pd4. Source: Alexandria, functional PBE.

Computed properties:
**VASP energy**: -122.4 eV/cell
**Calculated formation energy**: -6.7 eV/f.u.
**D(E_F)**: 0.8983 states/eV per atom

abc: 4.0246 11.3382 11.1276
angles: 90.00 90.00 90.00
Last column: nearest neighbours and their distance in Å.
Space group Amm2 (No. 38)
Symmetry-distinct sites (fractional):
1 Nd 0.0000 0.0000 0.0000 (multiplicity 2)  6 Pd 3.04-3.12
2 Nd 0.0000 0.1673 0.6648 (multiplicity 4)  6 Pd 3.07-3.14
3 Y 0.0000 0.0000 0.3346 (multiplicity 2)  6 Pd 2.97-3.08
4 Y 0.5000 0.2484 0.4150 (multiplicity 4)  4 Pd 3.04-3.17
5 Pd 0.5000 0.0000 0.5312 (multiplicity 2)  1 Pd 2.93, 4 Y 2.97-3.10, 4 Nd 3.14
6 Pd 0.5000 0.0000 0.7949 (multiplicity 2)  1 Pd 2.93, 6 Nd 3.04-3.12, 2 Y 3.15
7 Pd 0.5000 0.1277 0.1708 (multiplicity 4)  1 Pd 2.90, 4 Y 3.04-3.17, 4 Nd 3.07-3.12

=====

An optimized crystal structure of Pr2Nd2Y2Ho. Source: Alexandria, functional PBE.

Computed properties:
**VASP energy**: -107.3 eV/cell
**Calculated formation energy**: 0.8 eV/f.u.
**D(E_F)**: 2.1647 states/eV per atom

abc: 5.7794 5.7794 24.8776
angles: 90.00 90.00 120.00
Last column: nearest neighbours and their distance in Å.
Space group R-3m (No. 166, hexagonal axes)
Symmetry-distinct sites (fractional):
1 Pr 0.0000 0.0000 0.1389 (multiplicity 6)  1 Ho 3.46, 3 Y 3.51, 3 Pr 3.61, 1 Nd 3.65
2 Nd 0.0000 0.0000 0.2855 (multiplicity 6)  4 Y 3.54-3.56, 3 Ho 3.54, 1 Pr 3.65
3 Y 0.0000 0.0000 0.4284 (multiplicity 6)  3 Pr 3.51, 4 Nd 3.54-3.56, 1 Y 3.56
4 Ho 0.0000 0.0000 0.0000 (multiplicity 3)  2 Pr 3.46, 6 Nd 3.54

=====

An optimized crystal structure of Ba2AsP. Source: Alexandria, functional PBE.

Computed properties:
**VASP energy**: -64.6 eV/cell
**Calculated formation energy**: -2.2 eV/f.u.
**D(E_F)**: 0.4127 states/eV per atom

abc: 8.7235 8.7235 7.2007
angles: 90.00 90.00 90.00
Last column: nearest neighbours and their distance in Å.
Space group I-42d (No. 122)
Symmetry-distinct sites (fractional):
1 Ba 0.2377 0.2500 0.1250 (multiplicity 8)  2 P 3.14, 2 As 3.29
2 As 0.0000 0.0000 0.5000 (multiplicity 4)  4 Ba 3.29, 2 P 3.60
3 P 0.0000 0.0000 0.0000 (multiplicity 4)  4 Ba 3.14

=====

An optimized crystal structure of Be3Zn. Source: Alexandria, functional PBE.

Computed properties:
**VASP energy**: -11.7 eV/cell
**Calculated formation energy**: 0.8 eV/f.u.
**D(E_F)**: 0.2549 states/eV per atom

abc: 3.3785 3.3785 3.3785
angles: 90.00 90.00 90.00
Last column: nearest neighbours and their distance in Å.
Space group Pm-3m (No. 221)
Symmetry-distinct sites (fractional):
1 Be 0.0000 0.0000 0.5000 (multiplicity 3)  8 Be 2.39, 4 Zn 2.39
2 Zn 0.5000 0.5000 0.5000 (multiplicity 1)  12 Be 2.39

=====

An optimized crystal structure of Pu3PH2. Source: Alexandria, functional PBE.

Computed properties:
**VASP energy**: -230.7 eV/cell
**D(E_F)**: 3.2372 states/eV per atom

abc: 8.0146 12.9208 4.1807
angles: 90.00 90.00 90.00
Last column: nearest neighbours and their distance in Å.
Space group Cmcm (No. 63)
Symmetry-distinct sites (fractional):
1 Pu 0.0000 0.0998 0.2500 (multiplicity 4)  4 H 2.24
2 Pu 0.1893 0.3651 0.2500 (multiplicity 8)  2 H 2.26
3 P 0.0000 0.2587 0.7500 (multiplicity 4)  8 Pu 2.93-2.96
4 H 0.1880 0.0000 0.0000 (multiplicity 8)  2 H 2.09, 4 Pu 2.24-2.26

=====

What did the third record say?
An optimized crystal structure of Li2CoAg. Source: Alexandria, functional PBE.

Computed properties:
**VASP energy**: -13.0 eV/cell
**Calculated formation energy**: 0.8 eV/f.u.
**D(E_F)**: 0.7105 states/eV per atom

abc: 4.5094 4.5094 2.7455
angles: 90.00 90.00 90.00
Last column: nearest neighbours and their distance in Å.
Space group P4/mmm (No. 123)
Symmetry-distinct sites (fractional):
1 Li 0.0000 0.5000 0.0000 (multiplicity 2)  4 Co 2.64, 4 Ag 2.64, 2 Li 2.75
2 Co 0.0000 0.0000 0.5000 (multiplicity 1)  8 Li 2.64, 2 Co 2.75
3 Ag 0.5000 0.5000 0.5000 (multiplicity 1)  8 Li 2.64, 2 Ag 2.75

=====

Which value of VASP energy does entry 6 give?
-64.6 eV/cell